BaBeSiPt | PBE | relaxed

Lattice parameters (Å, degrees): 4.7934 4.7934 4.7934 60.00 60.00 60.00
With the nearest neighbours (Å) after each atom.
Fractional positions:
Ba1 0.0000 0.0000 0.0000  4 Be 2.94, 4 Si 2.94
Be1 0.2500 0.2500 0.2500  4 Ba 2.94, 4 Pt 2.94
Si1 0.7500 0.7500 0.7500  4 Ba 2.94, 4 Pt 2.94
Pt1 0.5000 0.5000 0.5000  4 Be 2.94, 4 Si 2.94

## Properties
total energy	-4.04	eV per atom
energy above the lowest structure with this stoichiometry	0	meV/atom

AgSnIrSe3 | PBE | relaxed

Lattice parameters (Å, degrees): 8.0429 8.0429 9.7034 90.00 90.00 152.42
With the nearest neighbours (Å) after each atom.
Fractional positions:
Ag1 0.1909 0.8091 0.7500  2 Se 2.59, 2 Sn 2.88
Ag2 0.8091 0.1909 0.2500  2 Se 2.59, 2 Sn 2.88
Sn1 0.1715 0.8285 0.2500  4 Se 2.75-2.84, 2 Ag 2.88
Sn2 0.8285 0.1715 0.7500  4 Se 2.75-2.84, 2 Ag 2.88
Ir1 0.5000 0.5000 0.0000  6 Se 2.52-2.53
Ir2 0.5000 0.5000 0.5000  6 Se 2.52-2.53
Se1 0.1041 0.8959 0.5224  2 Ir 2.52, 1 Ag 2.59
Se2 0.1041 0.8959 0.9776  2 Ir 2.52, 1 Ag 2.59
Se3 0.4548 0.5452 0.7500  2 Ir 2.53, 2 Sn 2.75
Se4 0.5452 0.4548 0.2500  2 Ir 2.53, 2 Sn 2.75
Se5 0.8959 0.1041 0.0224  2 Ir 2.52, 1 Ag 2.59
Se6 0.8959 0.1041 0.4776  2 Ir 2.52, 1 Ag 2.59

## Properties
total energy	-4.59	eV per atom